Entry 1:
Crystalline LaZnRe2Bi at its relaxed geometry, computed with PBE.

Its calculated formation energy is 1229 meV per atom. Its distance to the lowest polymorph of the same formula is 0.000 eV/atom. The calculation puts the total magnetization at 0.23 μB/atom.

Cell and atoms, written as POSCAR:
```
LaZnRe2Bi
1.0
4.720 0.000 0.000
0.000 4.720 0.000
0.000 0.000 5.295
La Zn Re Bi
1 1 2 1
Cartesian
0.000 0.000 0.000
0.000 0.000 2.648
0.000 2.360 2.648
2.360 0.000 2.648
2.360 2.360 0.000
```

---

Entry 2:
Crystalline AcRhC at its relaxed geometry, computed with PBE.

Its calculated formation energy is 258 meV per atom. Its distance to the lowest polymorph of the same formula is 0.317 eV/atom. The calculation puts the total magnetization at 0.00 μB/atom.

Cell and atoms, written as POSCAR:
```
AcRhC
1.0
5.866 0.000 0.000
0.000 10.953 0.000
0.000 0.000 3.832
Ac Rh C
4 4 4
Cartesian
0.000 1.600 0.000
0.000 9.353 0.000
2.933 3.877 0.000
2.933 7.076 0.000
0.000 4.133 1.916
0.000 6.820 1.916
2.933 1.343 1.916
2.933 9.610 1.916
1.444 5.477 1.916
1.489 0.000 1.916
4.377 0.000 1.916
4.422 5.477 1.916
```

---

Entry 3:
Crystalline KCa2Cu at its relaxed geometry, computed with PBE.

Its calculated formation energy is 99 meV per atom. Its distance to the lowest polymorph of the same formula is 0.053 eV/atom. The calculation puts the total magnetization at 0.00 μB/atom.

Cell and atoms, written as POSCAR:
```
KCa2Cu
1.0
4.182 0.000 0.000
0.000 4.039 0.000
-2.080 0.000 9.328
K Ca Cu
1 2 1
Cartesian
0.000 0.000 0.000
-0.009 2.019 5.986
2.080 0.000 3.485
-0.013 2.019 2.989
```

---

Q: Number 1 is which compound?
A: LaZnRe2Bi

---

Q: What is the formula in the first record?
A: LaZnRe2Bi